(1)
The following is a DFT calculation (PBE) of crystalline CaSi3Os at its relaxed geometry.

abc: 4.803 4.803 4.803
angles: 90.00 90.00 90.00
Atoms (fractional coordinates):
Ca  0.000  0.000  0.000
Os  0.500  0.500  0.500
Si  0.000  0.500  0.000
Si  0.000  0.000  0.500
Si  0.500  0.000  0.000

Computed properties:
**ΔE_f (raw)**: 2.442 eV/atom
**Symmetry**: Pm-3m
**V**: 22.2 A^3/atom
**Size of the total moment**: 0.0 μB per formula unit
**E**: -3.46 eV/atom
**Density of states at the Fermi level**: 4.516 states/eV/f.u.

***

(2)
The following is a DFT calculation (PBE) of crystalline Ca2SiOs at its relaxed geometry.

abc: 4.395 2.875 6.940
angles: 65.63 90.00 90.00
Atoms (fractional coordinates):
Ca  0.000  0.003  0.999
Ca  0.000  0.497  0.501
Os  0.500  0.250  0.250
Si  0.500  0.750  0.750

Computed properties:
**ΔE_f (raw)**: 0.262 eV/atom
**Symmetry**: P2/m
**V**: 20.0 A^3/atom
**Size of the total moment**: 0.0 μB per formula unit
**E**: -4.90 eV/atom
**Density of states at the Fermi level**: 2.951 states/eV/f.u.

***

(3)
The following is a DFT calculation (PBE) of crystalline Ca2SiOs at its relaxed geometry.

abc: 10.622 10.622 7.855
angles: 47.46 47.46 90.00
Atoms (fractional coordinates):
Ca  0.810  0.125  0.250
Ca  0.940  0.625  0.250
Ca  0.375  0.190  0.750
Ca  0.875  0.060  0.750
Os  0.000  0.000  0.000
Os  0.750  0.250  0.500
Si  0.500  0.500  0.000
Si  0.250  0.750  0.500

Computed properties:
**ΔE_f (raw)**: 0.083 eV/atom
**Symmetry**: I-42d
**V**: 32.4 A^3/atom
**Size of the total moment**: 0.0 μB per formula unit
**E**: -5.08 eV/atom
**Density of states at the Fermi level**: 3.109 states/eV/f.u.